Below is crystalline Mg2Cd2Sn at its relaxed geometry, with properties calculated at the PBE level.

```
5
Lattice="-0.5472 4.0933 -1.0545 -2.1598 0.6433 3.6178 4.4531 3.9644 4.4642" Properties=species:S:1:pos:R:3 pbc="T T T"
Mg 1.2762 5.2131 2.3456
Cd -0.1657 2.6948 1.9326
Mg 0.4699 3.4881 4.6818
Sn 0.0000 0.0000 0.0000
Cd 1.9118 6.0063 5.0948
```

Symmetry: No. 139
ΔH_f (0 K) (kJ per mole of atoms): 7